# SrSm4Au5

An optimized crystal structure of SrSm4Au5 (PBE, the Alexandria database).

Cell lengths 3.6918, 3.6918, 18.7355 Å; angles 90.00, 90.00, 90.00 degrees
With the nearest neighbours (Å) after each atom.
Element x y z (fractional)
Sr1 0.0000 0.0000 0.0000  8 Au 3.39, 4 Sr 3.69
Sm1 0.0000 0.0000 0.2041  8 Au 3.09-3.21
Sm2 0.0000 0.0000 0.4021  8 Au 3.19-3.20
Sm3 0.0000 0.0000 0.5979  8 Au 3.19-3.20
Sm4 0.0000 0.0000 0.7959  8 Au 3.09-3.21
Au1 0.5000 0.5000 0.1157  4 Sm 3.09, 4 Sr 3.39
Au2 0.5000 0.5000 0.3035  8 Sm 3.20-3.21, 1 Au 3.52
Au3 0.5000 0.5000 0.5000  8 Sm 3.19
Au4 0.5000 0.5000 0.6965  8 Sm 3.20-3.21, 1 Au 3.52
Au5 0.5000 0.5000 0.8843  4 Sm 3.09, 4 Sr 3.39

Computed properties:
Its space group is P4/mmm. As for the total magnetization: 0.00 Bohr magnetons per cell. The formation energy comes out at -786 meV/atom.

---

# SrSmAu2

An optimized crystal structure of SrSmAu2 (PBE, the Alexandria database).

Cell lengths 8.0515, 8.0515, 8.0515 Å; angles 30.72, 30.72, 30.72 degrees
With the nearest neighbours (Å) after each atom.
Element x y z (fractional)
Sr1 0.0000 0.0000 0.0000  6 Au 3.20-3.26
Sm1 0.1705 0.1705 0.1705  6 Au 2.99-3.04
Au1 0.5776 0.5776 0.5776  3 Sm 2.99, 3 Sr 3.20
Au2 0.7597 0.7597 0.7597  3 Sm 3.04, 3 Sr 3.26

Computed properties:
Its space group is R3m. As for the total magnetization: 0.00 Bohr magnetons per cell. The formation energy comes out at -675 meV/atom.

---

Please write out number 2 again, unchanged.
# SrSmAu2

An optimized crystal structure of SrSmAu2 (PBE, the Alexandria database).

Cell lengths 8.0515, 8.0515, 8.0515 Å; angles 30.72, 30.72, 30.72 degrees
With the nearest neighbours (Å) after each atom.
Element x y z (fractional)
Sr1 0.0000 0.0000 0.0000  6 Au 3.20-3.26
Sm1 0.1705 0.1705 0.1705  6 Au 2.99-3.04
Au1 0.5776 0.5776 0.5776  3 Sm 2.99, 3 Sr 3.20
Au2 0.7597 0.7597 0.7597  3 Sm 3.04, 3 Sr 3.26

Computed properties:
Its space group is R3m. As for the total magnetization: 0.00 Bohr magnetons per cell. The formation energy comes out at -675 meV/atom.

---

Q: Number 2 is which compound?
A: SrSmAu2